Density functional theory data (GGA-PBE) for a relaxed Ho4TmPd15 crystal.

Lattice parameters (Å, degrees): 4.100 4.100 20.627 90.00 90.00 90.00
Fractional positions:
Ho (0.000, 0.000, 0.199)
Ho (0.000, 0.000, 0.400)
Ho (0.000, 0.000, 0.600)
Ho (0.000, 0.000, 0.801)
Tm (0.000, 0.000, 0.000)
Pd (0.500, 0.500, 0.000)
Pd (0.500, 0.500, 0.199)
Pd (0.500, 0.500, 0.400)
Pd (0.500, 0.500, 0.600)
Pd (0.500, 0.500, 0.801)
Pd (0.500, 0.000, 0.099)
Pd (0.500, 0.000, 0.300)
Pd (0.500, 0.000, 0.500)
Pd (0.500, 0.000, 0.700)
Pd (0.500, 0.000, 0.901)
Pd (0.000, 0.500, 0.099)
Pd (0.000, 0.500, 0.300)
Pd (0.000, 0.500, 0.500)
Pd (0.000, 0.500, 0.700)
Pd (0.000, 0.500, 0.901)

**Calculated density**: 11.61 g/cm³
**Magnetic moment**: 0.000 μB/cell
**Energy of formation from the pure elements**: -0.897 eV/atom